(1)
First-principles (PBE-GGA) data for a relaxed SnB3C crystal, as listed in Alexandria via LeMat-Bulk.

Lattice parameters (Å, degrees): 3.710 3.710 3.710 90.00 90.00 90.00
Sites, in units of the cell vectors:
Sn 0.000 0.000 0.000
B 0.000 0.500 0.500
B 0.500 0.000 0.500
B 0.500 0.500 0.000
C 0.500 0.500 0.500

Computed properties:
For the size of the total moment, the calculation gives 0.0 Bohr magnetons per cell. The calculation puts the energy relative to the elements at 1.878 eV/atom. For the total energy, the calculation gives -4.774 eV/atom. The energy above the most stable polymorph in this dataset comes out at 0 meV/atom.


(2)
First-principles (PBE-GGA) data for a relaxed Er2ZnAu6 crystal, as listed in Alexandria via LeMat-Bulk.

Lattice parameters (Å, degrees): 6.244 6.244 5.407 90.06 90.06 59.87
Sites, in units of the cell vectors:
Er 0.166 0.166 0.176
Er 0.834 0.834 0.824
Zn 0.500 0.500 0.000
Au 0.137 0.681 0.306
Au 0.318 0.318 0.695
Au 0.319 0.863 0.694
Au 0.681 0.137 0.306
Au 0.682 0.682 0.305
Au 0.863 0.319 0.694

Computed properties:
For the size of the total moment, the calculation gives 0.0 Bohr magnetons per cell. The calculation puts the energy relative to the elements at -0.571 eV/atom. For the total energy, the calculation gives -3.911 eV/atom.


What is the formula in the second record? Er2ZnAu6


Number 2 is which compound? Er2ZnAu6